## GaAg2Se (PBE-GGA)

Data for GaAg2Se after structural relaxation.

Offset from the most stable computed form = 20.3 meV/atom
Calculated volume = 19.7 Å³/atom
Formation energy from raw total energies = 0.03 eV/atom

Unit cell a=6.8046 b=6.8046 c=6.8046 alpha=90.00 beta=90.00 gamma=90.00
With the nearest neighbours (Å) after each atom.
Fractional positions:
Ga 0.0000 0.0000 0.0000  8 Ag 2.95
Ga 0.0000 0.5000 0.5000  8 Ag 2.95
Ga 0.5000 0.0000 0.5000  8 Ag 2.95
Ga 0.5000 0.5000 0.0000  8 Ag 2.95
Ag 0.2500 0.2500 0.2500  4 Se 2.95, 4 Ga 2.95
Ag 0.2500 0.2500 0.7500  4 Se 2.95, 4 Ga 2.95
Ag 0.2500 0.7500 0.2500  4 Se 2.95, 4 Ga 2.95
Ag 0.2500 0.7500 0.7500  4 Se 2.95, 4 Ga 2.95
Ag 0.7500 0.2500 0.2500  4 Se 2.95, 4 Ga 2.95
Ag 0.7500 0.2500 0.7500  4 Se 2.95, 4 Ga 2.95
Ag 0.7500 0.7500 0.2500  4 Se 2.95, 4 Ga 2.95
Ag 0.7500 0.7500 0.7500  4 Se 2.95, 4 Ga 2.95
Se 0.0000 0.0000 0.5000  8 Ag 2.95
Se 0.0000 0.5000 0.0000  8 Ag 2.95
Se 0.5000 0.0000 0.0000  8 Ag 2.95
Se 0.5000 0.5000 0.5000  8 Ag 2.95